1.
Below is NbSi3As after structural relaxation, with properties calculated at the PBE level.

Geometry as POSCAR:
```
NbSi3As
1.0
4.882 0.000 0.000
0.000 4.882 0.000
0.000 0.000 4.882
Nb Si As
1 3 1
Cartesian
0.000 0.000 0.000
0.000 0.000 2.441
0.000 2.441 0.000
2.441 0.000 0.000
2.441 2.441 2.441
```

Summary:
Theoretical density, g/cm³: 3.60
Energy relative to the lowest polymorph listed for this composition, meV per atom: 0
Uncorrected formation energy, meV/atom: 946

=====

2.
Below is BaZr2CrPd after structural relaxation, with properties calculated at the PBE level.

Geometry as POSCAR:
```
BaZr2CrPd
1.0
4.779 0.000 0.000
0.000 4.779 0.000
0.000 0.000 5.781
Ba Zr Cr Pd
1 2 1 1
Cartesian
0.000 0.000 0.000
0.000 2.389 2.891
2.389 0.000 2.891
0.000 0.000 2.891
2.389 2.389 0.000
```

Summary:
Theoretical density, g/cm³: 6.01
Total energy, eV per atom: -6.041

=====

3.
Below is MnRe2P after structural relaxation, with properties calculated at the PBE level.

Geometry as POSCAR:
```
MnRe2P
1.0
-2.663 2.663 5.280
2.663 -2.663 5.280
2.663 2.663 -5.280
Mn Re P
2 4 2
Cartesian
0.000 0.000 0.000
0.000 2.663 2.640
3.994 1.297 -1.320
1.297 1.331 1.320
-1.331 1.366 3.960
1.366 1.331 6.600
2.663 0.000 2.640
0.000 0.000 5.280
```

Summary:
Theoretical density, g/cm³: 10.16
Total energy, eV per atom: -8.993